The following is a DFT calculation (PBE with a Hubbard U) of an optimized crystal structure of PaCrRhO6.

```
PaCrRhO6
1.0
-3.9332 -0.3182 -3.6043
3.1069 -4.2442 0.9466
-5.4697 -2.6212 6.2001
O Cr Rh Pa
12 2 2 2
Direct
0.3147 0.9795 0.6255 O
0.0205 0.3352 0.6255 O
0.9795 0.6648 0.3745 O
0.6648 0.6853 0.6255 O
0.6648 0.9795 0.8745 O
0.3352 0.0205 0.1255 O
0.3352 0.3147 0.3745 O
0.9795 0.3147 0.1255 O
0.6853 0.0205 0.3745 O
0.3147 0.3352 0.8745 O
0.6853 0.6648 0.1255 O
0.0205 0.6853 0.8745 O
0.6667 0.3333 0.2500 Cr
0.3333 0.6667 0.7500 Cr
0.0000 0.0000 0.0000 Rh
0.0000 0.0000 0.5000 Rh
0.3333 0.6667 0.2500 Pa
0.6667 0.3333 0.7500 Pa
```

* DFT total energy: -7.9955 eV per atom
* N(E_F): 9.6 states/eV per cell